(1)
A geometry-optimized KLa2W structure. Source: Alexandria, functional PBE.

Results
- Magnetization: 0.001 Bohr magnetons per cell
- Calculated total energy: -5.107 eV/atom
- DFT formation energy: 0.87 eV per atom
- DOS(E_F): 4.4 states/eV/cell
- Crystal system: tetragonal

abc: 4.149 4.149 9.668
angles: 90.00 90.00 90.00
Fractional positions:
La: 0.000 0.000 0.082
K: 0.500 0.500 0.729
La: 0.500 0.500 0.350
W: 0.000 0.000 0.339



(2)
A geometry-optimized KLaW2 structure. Source: Alexandria, functional PBE.

Results
- Magnetization: 0.000 Bohr magnetons per cell
- Calculated total energy: -6.514 eV/atom
- DFT formation energy: 1.47 eV per atom
- DOS(E_F): 3.4 states/eV/cell
- Crystal system: cubic

abc: 5.010 5.010 5.010
angles: 119.97 119.97 90.05
Fractional positions:
K: 0.500 0.500 0.000
W: 0.250 0.750 0.500
La: 0.750 0.250 0.500
W: 0.000 0.000 0.000



(3)
A geometry-optimized KLaW2 structure. Source: Alexandria, functional PBE.

Results
- Magnetization: 0.000 Bohr magnetons per cell
- Calculated total energy: -6.593 eV/atom
- DFT formation energy: 1.39 eV per atom
- DOS(E_F): 6.4 states/eV/cell
- Crystal system: orthorhombic

abc: 6.269 6.269 2.803
angles: 90.00 90.00 126.57
Fractional positions:
K: 0.500 0.000 0.500
La: 0.000 0.500 0.500
W: 0.000 0.000 0.000
W: 0.500 0.500 0.000



(4)
A geometry-optimized KLa2W structure. Source: Alexandria, functional PBE.

Results
- Magnetization: 0.000 Bohr magnetons per cell
- Calculated total energy: -5.059 eV/atom
- DFT formation energy: 0.92 eV per atom
- DOS(E_F): 7.0 states/eV/cell
- Crystal system: tetragonal

abc: 8.515 8.515 8.504
angles: 59.96 59.96 90.00
Fractional positions:
La: 0.875 0.118 0.750
W: 0.750 0.250 0.500
La: 0.882 0.625 0.250
La: 0.868 0.125 0.250
W: 0.000 0.000 0.000
K: 0.500 0.500 0.000
K: 0.250 0.750 0.500
La: 0.375 0.132 0.750



(5)
A geometry-optimized KLa2W structure. Source: Alexandria, functional PBE.

Results
- Magnetization: 0.609 Bohr magnetons per cell
- Calculated total energy: -4.827 eV/atom
- DFT formation energy: 1.15 eV per atom
- DOS(E_F): 5.4 states/eV/cell
- Crystal system: tetragonal

abc: 6.171 6.171 6.171
angles: 134.97 134.97 65.57
Each line ends with the local moment (μB).
Fractional positions:
K: 0.750 0.250 0.500  -0.01
W: 0.500 0.500 0.000  0.73
La: 0.250 0.750 0.500  -0.08
La: 0.000 0.000 0.000  -0.07



(6)
A geometry-optimized KLaW structure. Source: Alexandria, functional PBE.

Results
- Magnetization: 0.001 Bohr magnetons per cell
- Calculated total energy: -5.048 eV/atom
- DFT formation energy: 1.28 eV per atom
- DOS(E_F): 4.3 states/eV/cell
- Crystal system: tetragonal

abc: 7.618 7.618 7.618
angles: 151.47 151.47 40.79
Fractional positions:
K: 0.019 0.019 0.000
W: 0.700 0.700 0.000
La: 0.281 0.281 0.000



(7)
A geometry-optimized KLaW2 structure. Source: Alexandria, functional PBE.

Results
- Magnetization: 0.000 Bohr magnetons per cell
- Calculated total energy: -6.846 eV/atom
- DFT formation energy: 1.14 eV per atom
- DOS(E_F): 4.2 states/eV/cell
- Crystal system: monoclinic

abc: 5.771 5.771 7.517
angles: 85.13 85.13 33.60
Fractional positions:
K: 0.750 0.750 0.750
W: 0.999 0.999 0.131
La: 0.250 0.250 0.250
W: 0.501 0.501 0.369



(8)
A geometry-optimized KLaW2 structure. Source: Alexandria, functional PBE.

Results
- Magnetization: 0.001 Bohr magnetons per cell
- Calculated total energy: -6.695 eV/atom
- DFT formation energy: 1.29 eV per atom
- DOS(E_F): 3.3 states/eV/cell
- Crystal system: tetragonal

abc: 2.815 2.815 11.533
angles: 90.00 90.00 90.00
Fractional positions:
W: 0.000 0.000 0.518
K: 0.500 0.500 0.250
La: 0.500 0.500 0.750
W: 0.000 0.000 0.982